Entry from the Alexandria database: CdMo2P after structural relaxation (PBE).

Output
Theoretical density: 8.4 g/cm3
Formation energy from the elements: 138 meV/atom

a = 3.073 Å, b = 3.428 Å, c = 6.387 Å
α = 90.00°, β = 99.84°, γ = 90.00°
Positions (direct):
Cd1 0.000 0.000 0.000
Mo1 0.384 0.500 0.697
Mo2 0.616 0.500 0.303
P1 0.000 0.000 0.500

***

Entry from the Alexandria database: LiTh5 after structural relaxation (PBE).

Output
Theoretical density: 10.7 g/cm3
Formation energy from the elements: 143 meV/atom

a = 5.874 Å, b = 17.255 Å, c = 3.577 Å
α = 90.00°, β = 90.00°, γ = 90.00°
Positions (direct):
Li1 0.000 0.000 0.000
Li2 0.500 0.500 0.000
Th1 0.000 0.149 0.500
Th2 0.000 0.325 0.000
Th3 0.000 0.500 0.500
Th4 0.000 0.675 0.000
Th5 0.000 0.851 0.500
Th6 0.500 0.000 0.500
Th7 0.500 0.175 0.000
Th8 0.500 0.351 0.500
Th9 0.500 0.649 0.500
Th10 0.500 0.825 0.000

***

Entry from the Alexandria database: Ce7PuOs2 after structural relaxation (PBE).

Output
Theoretical density: 8.8 g/cm3
Formation energy from the elements: 166 meV/atom

a = 8.023 Å, b = 8.023 Å, c = 5.228 Å
α = 90.00°, β = 90.00°, γ = 115.51°
Positions (direct):
Ce1 0.000 0.000 0.000
Ce2 0.214 0.449 0.000
Ce3 0.218 0.782 0.500
Ce4 0.449 0.214 0.000
Ce5 0.551 0.786 0.000
Ce6 0.782 0.218 0.500
Ce7 0.786 0.551 0.000
Pu1 0.500 0.500 0.500
Os1 0.190 0.810 0.000
Os2 0.810 0.190 0.000

***

Entry from the Alexandria database: LaRhS2O8 after structural relaxation (PBE).

Output
Theoretical density: 4.0 g/cm3
Formation energy (no corrections): -1.570 eV/atom

a = 5.254 Å, b = 5.254 Å, c = 7.448 Å
α = 90.00°, β = 90.00°, γ = 120.00°
Positions (direct):
La1 0.000 0.000 0.000
Rh1 0.000 0.000 0.500
S1 0.333 0.667 0.202
S2 0.667 0.333 0.798
O1 0.178 0.355 0.263
O2 0.178 0.822 0.263
O3 0.333 0.667 0.000
O4 0.355 0.178 0.737
O5 0.645 0.822 0.263
O6 0.667 0.333 0.000
O7 0.822 0.178 0.737
O8 0.822 0.645 0.737

***

Entry from the Alexandria database: ErTi2C after structural relaxation (PBE).

Output
Theoretical density: 6.4 g/cm3
Formation energy from the elements: -249 meV/atom

a = 3.135 Å, b = 3.135 Å, c = 25.001 Å
α = 90.00°, β = 90.00°, γ = 120.00°
Positions (direct):
Er1 0.000 0.000 0.000
Er2 0.333 0.667 0.667
Er3 0.667 0.333 0.333
Ti1 0.000 0.000 0.122
Ti2 0.000 0.000 0.878
Ti3 0.333 0.667 0.544
Ti4 0.333 0.667 0.789
Ti5 0.667 0.333 0.211
Ti6 0.667 0.333 0.456
C1 0.000 0.000 0.500
C2 0.333 0.667 0.167
C3 0.667 0.333 0.833

***

Entry from the Alexandria database: SrZnInBr5 after structural relaxation (PBE).

Output
Theoretical density: 3.6 g/cm3
Formation energy (no corrections): -1.273 eV/atom

a = 8.026 Å, b = 8.026 Å, c = 10.767 Å
α = 104.45°, β = 104.45°, γ = 105.34°
Positions (direct):
Sr1 0.000 0.000 0.000
Sr2 0.000 0.000 0.500
Zn1 0.318 0.682 0.750
Zn2 0.682 0.318 0.250
In1 0.348 0.652 0.250
In2 0.652 0.348 0.750
Br1 0.080 0.658 0.857
Br2 0.101 0.899 0.250
Br3 0.263 0.399 0.567
Br4 0.342 0.920 0.643
Br5 0.399 0.263 0.067
Br6 0.601 0.737 0.933
Br7 0.658 0.080 0.357
Br8 0.737 0.601 0.433
Br9 0.899 0.101 0.750
Br10 0.920 0.342 0.143

***

Entry from the Alexandria database: KInGe after structural relaxation (PBE).

Output
Theoretical density: 3.7 g/cm3
Formation energy from the elements: -83 meV/atom

a = 4.596 Å, b = 5.539 Å, c = 7.987 Å
α = 90.00°, β = 90.00°, γ = 90.00°
Positions (direct):
K1 0.000 0.000 0.000
K2 0.500 0.000 0.500
In1 0.000 0.500 0.322
In2 0.000 0.500 0.678
Ge1 0.500 0.500 0.154
Ge2 0.500 0.500 0.846

***

Entry from the Alexandria database: Zn3RePb after structural relaxation (PBE).

Output
Theoretical density: 8.4 g/cm3
Formation energy from the elements: 709 meV/atom

a = 4.876 Å, b = 4.876 Å, c = 4.876 Å
α = 90.00°, β = 90.00°, γ = 90.00°
Positions (direct):
Zn1 0.000 0.000 0.500
Zn2 0.000 0.500 0.000
Zn3 0.500 0.000 0.000
Re1 0.000 0.000 0.000
Pb1 0.500 0.500 0.500